DFT (PBE-GGA) results for a geometry-optimized BaNaGaP2 structure.

a = 6.0030 Å, b = 6.3974 Å, c = 7.6090 Å
α = 114.86°, β = 90.00°, γ = 90.00°
With the nearest neighbours (Å) after each atom.
Sites, in units of the cell vectors:
1 Ba 0.2410 0.7500 0.5000  8 P 3.29-3.62
2 Ba 0.7590 0.2500 0.5000  8 P 3.29-3.62
3 Na 0.5000 0.7500 0.0000  4 P 2.88, 2 Na 3.20
4 Na 0.5000 0.2500 0.0000  4 P 2.88, 2 Na 3.20
5 Ga 0.0000 0.0000 0.0000  2 P 2.23
6 Ga 0.0000 0.5000 0.0000  2 P 2.23
7 P 0.7712 0.8731 0.7462  1 Ga 2.23
8 P 0.7712 0.6269 0.2538  1 Ga 2.23
9 P 0.2288 0.3731 0.7462  1 Ga 2.23
10 P 0.2288 0.1269 0.2538  1 Ga 2.23

Space group = Cmme
Total energy = -3.924 eV per atom
M_tot = 0.000 μB/atom